Record 1
Material: ZnIr
Method: DFT, PBE
State: optimized geometry

CIF file:
```
data_ZnIr
_cell_length_a 4.7865
_cell_length_b 4.4314
_cell_length_c 5.3812
_cell_angle_alpha 90.00
_cell_angle_beta 90.00
_cell_angle_gamma 90.00
_symmetry_space_group_name_H-M 'P n m a'
_symmetry_Int_Tables_number 62
_symmetry_space_group_name_Hall '-P 2ac 2n'
loop_
_atom_site_label
_atom_site_type_symbol
_atom_site_fract_x
_atom_site_fract_y
_atom_site_fract_z
Zn1 Zn 0.0869 0.2500 0.1240
Ir1 Ir 0.0735 0.2500 0.6250
```

Properties
As for the formation energy: -12.2 meV/atom.

***

Record 2
Material: ZnIr10
Method: DFT, PBE
State: optimized geometry

CIF file:
```
data_ZnIr10
_cell_length_a 8.6339
_cell_length_b 3.8581
_cell_length_c 32.2044
_cell_angle_alpha 90.00
_cell_angle_beta 90.05
_cell_angle_gamma 90.00
_symmetry_space_group_name_H-M 'C 1 2/m 1'
_symmetry_Int_Tables_number 12
_symmetry_space_group_name_Hall '-C 2y'
loop_
_atom_site_label
_atom_site_type_symbol
_atom_site_fract_x
_atom_site_fract_y
_atom_site_fract_z
Zn1 Zn 0.1448 0.0000 0.2795
Ir1 Ir 0.0478 0.0000 0.8251
Ir2 Ir 0.0492 0.5000 0.2286
Ir3 Ir 0.0504 0.5000 0.9595
Ir4 Ir 0.0507 0.0000 0.0942
Ir5 Ir 0.1479 0.5000 0.8788
Ir6 Ir 0.1498 0.0000 0.0134
Ir7 Ir 0.1526 0.0000 0.7464
Ir8 Ir 0.1526 0.5000 0.1480
Ir9 Ir 0.2462 0.5000 0.7983
Ir10 Ir 0.2503 0.0000 0.9328
```

Properties
As for the formation energy: 142.5 meV/atom.

***

Record 3
Material: Zn4Ir3
Method: DFT, PBE
State: optimized geometry

CIF file:
```
data_Zn4Ir3
_cell_length_a 7.1503
_cell_length_b 7.1503
_cell_length_c 4.4984
_cell_angle_alpha 90.00
_cell_angle_beta 90.00
_cell_angle_gamma 120.00
_symmetry_space_group_name_H-M 'P 63/m'
_symmetry_Int_Tables_number 176
_symmetry_space_group_name_Hall '-P 6c'
loop_
_atom_site_label
_atom_site_type_symbol
_atom_site_fract_x
_atom_site_fract_y
_atom_site_fract_z
Zn1 Zn 0.0832 0.4627 0.2500
Zn2 Zn 0.3333 0.6667 0.7500
Ir1 Ir 0.0375 0.2462 0.7500
```

Properties
As for the formation energy: -124.5 meV/atom.

***

Record 4
Material: ZnIr15
Method: DFT, PBE
State: optimized geometry

CIF file:
```
data_ZnIr15
_cell_length_a 5.4507
_cell_length_b 2.7360
_cell_length_c 44.1794
_cell_angle_alpha 90.00
_cell_angle_beta 90.00
_cell_angle_gamma 90.00
_symmetry_space_group_name_H-M 'P 1 21/m 1'
_symmetry_Int_Tables_number 11
_symmetry_space_group_name_Hall '-P 2yb'
loop_
_atom_site_label
_atom_site_type_symbol
_atom_site_fract_x
_atom_site_fract_y
_atom_site_fract_z
Zn1 Zn 0.1250 0.2500 0.1708
Ir1 Ir 0.1250 0.2500 0.2579
Ir2 Ir 0.1249 0.2500 0.3463
Ir3 Ir 0.1248 0.2500 0.4341
Ir4 Ir 0.1250 0.2500 0.5219
Ir5 Ir 0.1252 0.2500 0.6097
Ir6 Ir 0.1254 0.2500 0.6976
Ir7 Ir 0.1254 0.2500 0.7851
Ir8 Ir 0.3753 0.7500 0.2149
Ir9 Ir 0.3754 0.7500 0.3024
Ir10 Ir 0.3752 0.7500 0.3903
Ir11 Ir 0.3750 0.7500 0.4780
Ir12 Ir 0.3749 0.7500 0.5658
Ir13 Ir 0.3750 0.7500 0.6535
Ir14 Ir 0.3750 0.7500 0.7412
Ir15 Ir 0.3750 0.7500 0.8273
```

Properties
The calculation puts the energy above the most stable polymorph in this dataset at 3 meV/atom. As for the formation energy: 105.4 meV/atom.

***

Record 5
Material: ZnIr
Method: DFT, PBE
State: optimized geometry

CIF file:
```
data_ZnIr
_cell_length_a 5.4374
_cell_length_b 4.4237
_cell_length_c 7.2040
_cell_angle_alpha 90.00
_cell_angle_beta 101.75
_cell_angle_gamma 90.00
_symmetry_space_group_name_H-M 'P 1 21/m 1'
_symmetry_Int_Tables_number 11
_symmetry_space_group_name_Hall '-P 2yb'
loop_
_atom_site_label
_atom_site_type_symbol
_atom_site_fract_x
_atom_site_fract_y
_atom_site_fract_z
Zn1 Zn 0.0476 0.2500 0.2161
Zn2 Zn 0.2734 0.7500 0.1181
Zn3 Zn 0.4438 0.7500 0.7811
Ir1 Ir 0.1108 0.7500 0.4514
Ir2 Ir 0.2314 0.2500 0.8966
Ir3 Ir 0.3871 0.2500 0.5456
```

Properties
As for the formation energy: -111.3 meV/atom.

***

Record 6
Material: ZnIr
Method: DFT, PBE
State: optimized geometry

CIF file:
```
data_ZnIr
_cell_length_a 4.4656
_cell_length_b 13.4158
_cell_length_c 4.7594
_cell_angle_alpha 90.00
_cell_angle_beta 90.00
_cell_angle_gamma 90.00
_symmetry_space_group_name_H-M 'A m m 2'
_symmetry_Int_Tables_number 38
_symmetry_space_group_name_Hall 'A 2 -2'
loop_
_atom_site_label
_atom_site_type_symbol
_atom_site_fract_x
_atom_site_fract_y
_atom_site_fract_z
Zn1 Zn 0.0000 0.0000 0.0000
Zn2 Zn 0.0000 0.1032 0.4813
Zn3 Zn 0.5000 0.0976 0.8204
Ir1 Ir 0.0000 0.1954 0.9782
Ir2 Ir 0.5000 0.0000 0.3287
Ir3 Ir 0.5000 0.2050 0.3150
```

Properties
As for the formation energy: -83.7 meV/atom.

***

Record 7
Material: ZnIr
Method: DFT, PBE
State: optimized geometry

CIF file:
```
data_ZnIr
_cell_length_a 9.7602
_cell_length_b 2.7965
_cell_length_c 4.5747
_cell_angle_alpha 90.00
_cell_angle_beta 114.02
_cell_angle_gamma 90.00
_symmetry_space_group_name_H-M 'C 1 2/m 1'
_symmetry_Int_Tables_number 12
_symmetry_space_group_name_Hall '-C 2y'
loop_
_atom_site_label
_atom_site_type_symbol
_atom_site_fract_x
_atom_site_fract_y
_atom_site_fract_z
Zn1 Zn 0.1151 0.0000 0.2895
Ir1 Ir 0.1342 0.5000 0.7949
```

Properties
As for the formation energy: -197.2 meV/atom.

***

Record 8
Material: ZnIr15
Method: DFT, PBE
State: optimized geometry

CIF file:
```
data_ZnIr15
_cell_length_a 5.4450
_cell_length_b 3.8583
_cell_length_c 35.6465
_cell_angle_alpha 90.00
_cell_angle_beta 90.01
_cell_angle_gamma 90.00
_symmetry_space_group_name_H-M 'P 1 21/m 1'
_symmetry_Int_Tables_number 11
_symmetry_space_group_name_Hall '-P 2yb'
loop_
_atom_site_label
_atom_site_type_symbol
_atom_site_fract_x
_atom_site_fract_y
_atom_site_fract_z
Zn1 Zn 0.1250 0.2500 0.2115
Ir1 Ir 0.1250 0.2500 0.2885
Ir2 Ir 0.1252 0.2500 0.3653
Ir3 Ir 0.1247 0.2500 0.4420
Ir4 Ir 0.1248 0.2500 0.5193
Ir5 Ir 0.1254 0.2500 0.5962
Ir6 Ir 0.1250 0.2500 0.6729
Ir7 Ir 0.1282 0.2500 0.7500
Ir8 Ir 0.3749 0.7500 0.3271
Ir9 Ir 0.3755 0.7500 0.4039
Ir10 Ir 0.3748 0.7500 0.4806
Ir11 Ir 0.3749 0.7500 0.5576
Ir12 Ir 0.3751 0.7500 0.6350
Ir13 Ir 0.3752 0.7500 0.7117
Ir14 Ir 0.3748 0.7500 0.7859
Ir15 Ir 0.3782 0.7500 0.2500
```

Properties
The calculation puts the energy above the most stable polymorph in this dataset at 52 meV/atom. As for the formation energy: 155.1 meV/atom.

***

Number 1: theoretical density 14.99 Mg/m³, E -5.072 eV/atom. Number 2: theoretical density 12.31 Mg/m³, E -8.022 eV/atom. Number 3: theoretical density 13.98 Mg/m³, E -4.642 eV/atom. Number 4: theoretical density 14.86 Mg/m³, E -8.275 eV/atom. Number 5: theoretical density 15.13 Mg/m³, E -5.171 eV/atom. Number 6: theoretical density 15.00 Mg/m³, E -5.144 eV/atom. Number 7: theoretical density 15.00 Mg/m³, E -5.257 eV/atom. Number 8: theoretical density 13.08 Mg/m³, E -8.225 eV/atom.